# 1
## LiLa2Cl (PBE)

Data for crystalline LiLa2Cl at its relaxed geometry.

The uncorrected formation energy is -65.7 kJ/mol of atoms. The energy above the most stable polymorph in this dataset comes out at 0.000 eV per atom. The density of states at the Fermi level is 1.5 states/eV/f.u. As for the space group: Cmm2 (35). The calculation puts the spin magnetization at 0.00 μB/f.u.

a = 3.6834 Å, b = 3.6834 Å, c = 9.8391 Å
α = 90.00°, β = 90.00°, γ = 117.77°
Positions (direct):
La (0.5000, 0.5000, 0.2490)
La (0.0000, 0.0000, 0.9655)
Cl (0.5000, 0.5000, 0.7232)
Li (0.0000, 0.0000, 0.5624)

=====

# 2
## ThZn4Au (PBE)

Data for crystalline ThZn4Au at its relaxed geometry.

The energy above the most stable polymorph in this dataset comes out at 0.156 eV per atom. The density of states at the Fermi level is 4.8 states/eV/f.u. As for the space group: F-43m (216). The calculation puts the spin magnetization at 0.00 μB/f.u.

a = 5.4292 Å, b = 5.4292 Å, c = 5.4292 Å
α = 60.00°, β = 60.00°, γ = 60.00°
Positions (direct):
Zn (0.6255, 0.6255, 0.1236)
Zn (0.1236, 0.6255, 0.6255)
Zn (0.6255, 0.6255, 0.6255)
Zn (0.6255, 0.1236, 0.6255)
Th (0.2500, 0.2500, 0.2500)
Au (0.0000, 0.0000, 0.0000)